First-principles (GGA+U) data for a relaxed CrSiN2O crystal, as listed in the Alexandria database.

Calculated values
- Mass density: 4.44 g cm⁻³
- Volume: 46 Å³/cell
- Energy: -7.181 eV per atom

Cell: 3.638 3.638 3.504 Å, 90.00 90.00 90.00°
Space group P4/mmm (No. 123)
Inequivalent atoms, fractional coordinates:
Cr  0.000  0.000  0.000
Si  0.500  0.500  0.500
N  0.000  0.500  0.500
O  0.500  0.500  0.000